Below is a geometry-optimized NiBiNF2 structure, with properties calculated at the PBE+U level.

**SG**: No. 123
**Excess energy over the best structure of this formula in the dataset**: 0.00 kcal/mol of atoms

```
NiBiNF2
1.0
3.854 0.000 0.000
0.000 3.854 0.000
0.000 0.000 4.396
Ni N Bi F
1 1 1 2
Direct
0.000 0.000 0.000 Ni
0.000 0.000 0.500 N
0.500 0.500 0.500 Bi
0.000 0.500 0.000 F
0.500 0.000 0.000 F
```